DFT (GGA+U) results for a relaxed structure of Ni2RuF.

abc: 5.191 5.191 5.191
angles: 103.40 103.40 122.44
Fractional coordinates of all 8 atoms:
Ni: 0.073 0.625 0.948
Ni: 0.375 0.323 0.448
Ni: 0.677 0.125 0.052
Ni: 0.875 0.927 0.552
Ru: 0.250 0.750 0.500
Ru: 0.500 0.500 0.000
F: 0.000 0.000 0.000
F: 0.750 0.250 0.500

Properties
final energy = -0.2628 Ry per atom
energy above the most stable polymorph in this dataset = 0.000 eV/f.u.